VASP calculation (PBE) on crystalline Na2AgF5 at its relaxed geometry.

```
Na2AgF5
1.0
-3.129 3.943 3.417
-4.691 -2.090 -3.005
5.048 -3.917 2.218
Ag F Na
1 5 2
Cartesian
-0.237 0.037 0.029
-4.132 -1.010 -1.317
-1.951 2.570 3.830
-1.624 -0.994 1.344
-1.295 -4.559 -1.141
0.886 -0.979 4.005
-0.862 0.634 3.426
-2.383 -2.623 -0.737
```

VASP calculation (PBE) on crystalline Na6Ag3F14 at its relaxed geometry.

```
Na6Ag3F14
1.0
5.880 0.000 0.000
0.000 6.986 -4.033
0.000 0.000 8.066
F Ag Na
14 3 6
Cartesian
0.020 0.630 1.580
1.259 3.881 1.532
3.795 2.951 0.073
0.020 1.054 6.730
3.189 1.364 5.402
3.189 1.625 2.513
2.492 0.000 0.000
5.715 2.329 4.033
3.795 5.447 -1.514
1.259 6.372 -0.093
1.259 3.719 -1.438
3.189 3.997 4.184
0.020 5.302 3.789
3.795 5.574 1.441
1.938 2.329 4.033
4.590 0.000 0.000
2.547 4.657 0.000
4.759 0.241 3.750
1.491 1.925 0.306
1.491 6.288 2.213
1.491 5.758 -2.519
4.759 3.127 5.982
4.759 3.617 2.367
```

VASP calculation (PBE) on crystalline NaAg4F5 at its relaxed geometry.

```
NaAg4F5
1.0
-2.502 4.000 1.351
-5.448 0.430 -2.447
-3.364 -0.748 4.897
F Ag Na
5 4 1
Cartesian
-7.313 2.939 4.517
-3.829 2.723 2.692
-7.490 0.968 1.111
-1.253 2.004 0.677
-4.006 0.752 -0.713
-5.656 1.383 3.275
-3.162 0.546 1.459
-5.663 2.307 0.528
-8.157 3.144 2.345
-0.003 0.004 0.001
```

VASP calculation (PBE) on crystalline NaAg2F at its relaxed geometry.

```
NaAg2F
1.0
0.000 3.305 3.305
3.305 0.000 3.305
3.305 3.305 0.000
Na F Ag
1 1 2
Cartesian
3.305 3.305 3.305
0.000 0.000 0.000
4.957 4.957 4.957
1.652 1.652 1.652
```

Values from the calculation:
Offset from the most stable computed form: 345 meV/atom

| no. | ΔE_f (raw) (eV/f.u.) | E_tot (eV per cell) |
| --- | --- | --- |
| 1 | -15.314 | -30.2 |
| 2 | -42.585 | -85.3 |
| 3 | -13.180 | -35.3 |
| 4 | -1.279 | -10.2 |